DFT (PBE-GGA) results for a relaxed structure of ScTa2Tc.

Lattice parameters (Å, degrees): 3.180 3.180 7.232 90.00 90.00 90.00
Sites, in units of the cell vectors:
Sc (0.500, 0.500, 0.750)
Ta (0.000, 0.000, 0.035)
Ta (0.000, 0.000, 0.465)
Tc (0.500, 0.500, 0.250)

Energy of formation, eV/atom: -0.07
Symmetry: P4/mmm (123)